# 1
DFT (PBE) results for an optimized crystal structure of SrTiH3.

Values from the calculation:
Energy above the lowest structure with this stoichiometry ... 864.0 meV per atom
Symmetry ... No. 221

abc: 4.344 4.344 4.344
angles: 90.00 90.00 90.00
Each line ends with the local moment (μB).
Fractional positions:
H1 0.000 0.000 0.500  0.03
H2 0.000 0.500 0.000  0.03
H3 0.500 0.000 0.000  0.04
Sr1 0.000 0.000 0.000  -0.05
Ti1 0.500 0.500 0.500  -2.06

***

# 2
DFT (PBE) results for an optimized crystal structure of AcThTeP.

Values from the calculation:
Formation energy (no corrections) ... -1.44 eV per atom
Symmetry ... No. 160

abc: 4.299 4.300 8.162
angles: 90.00 105.26 120.00
Fractional positions:
Th1 0.108 0.952 0.075
Ac1 0.496 0.146 0.658
Te1 0.957 0.376 0.348
P1 0.317 0.556 0.888

***

# 3
DFT (PBE) results for an optimized crystal structure of PmGa3Rh3.

Values from the calculation:
DFT formation energy ... -0.551 eV/atom
Energy above the lowest structure with this stoichiometry ... 74.3 meV per atom
Symmetry ... No. 148

abc: 6.739 6.739 7.373
angles: 62.81 62.81 60.00
Fractional positions:
Rh1 0.174 0.690 0.212
Rh2 0.310 0.076 0.788
Rh3 0.690 0.924 0.212
Rh4 0.826 0.310 0.788
Rh5 0.924 0.174 0.212
Rh6 0.076 0.826 0.788
Ga1 0.901 0.457 0.380
Ga2 0.263 0.901 0.380
Ga3 0.543 0.737 0.620
Ga4 0.737 0.099 0.620
Ga5 0.457 0.263 0.380
Ga6 0.099 0.543 0.620
Pm1 0.661 0.661 0.016
Pm2 0.339 0.339 0.984

***

# 4
DFT (PBE) results for an optimized crystal structure of Na3Si2As4.

Values from the calculation:
Formation energy (no corrections) ... -0.27 eV per atom
Symmetry ... No. 15

abc: 6.347 8.425 8.425
angles: 74.44 91.64 91.64
Fractional positions:
As1 0.933 0.750 0.574
As2 0.067 0.250 0.426
As3 0.505 0.060 0.695
As4 0.433 0.574 0.750
As5 0.567 0.426 0.250
As6 0.995 0.305 0.940
As7 0.005 0.695 0.060
As8 0.495 0.940 0.305
Na1 0.992 0.982 0.243
Na2 0.492 0.243 0.982
Na3 0.250 0.598 0.402
Na4 0.008 0.018 0.757
Na5 0.750 0.402 0.598
Na6 0.508 0.757 0.018
Si1 0.576 0.829 0.594
Si2 0.424 0.171 0.406
Si3 0.076 0.594 0.829
Si4 0.924 0.406 0.171

***

# 5
DFT (PBE) results for an optimized crystal structure of Tb2SmIn9.

Values from the calculation:
DFT formation energy ... -0.439 eV/atom
Symmetry ... No. 123

abc: 4.660 4.660 13.970
angles: 90.00 90.00 90.00
Fractional positions:
In1 0.500 0.500 0.334
In2 0.500 0.500 0.000
In3 0.000 0.500 0.832
In4 0.000 0.500 0.500
In5 0.500 0.000 0.168
In6 0.500 0.000 0.500
In7 0.000 0.500 0.168
In8 0.500 0.500 0.666
In9 0.500 0.000 0.832
Tb1 0.000 0.000 0.334
Tb2 0.000 0.000 0.666
Sm1 0.000 0.000 0.000

***

# 6
DFT (PBE) results for an optimized crystal structure of RhAuC.

Values from the calculation:
DFT formation energy ... 0.568 eV/atom
Energy above the lowest structure with this stoichiometry ... 69.8 meV per atom
Symmetry ... No. 1

abc: 3.130 3.132 5.747
angles: 74.65 74.47 60.05
Fractional positions:
Au1 0.372 0.145 0.702
C1 0.243 0.020 0.089
Rh1 0.535 0.313 0.214

***

# 7
DFT (PBE) results for an optimized crystal structure of KBa2Os.

Values from the calculation:
DFT formation energy ... 0.942 eV/atom
Energy above the lowest structure with this stoichiometry ... 396.7 meV per atom
Symmetry ... No. 123

abc: 5.498 5.498 4.568
angles: 89.94 89.94 90.00
Each line ends with the local moment (μB).
Fractional positions:
K1 0.500 0.000 0.500  -0.01
Ba1 0.500 0.500 0.000  -0.04
Ba2 0.000 0.000 0.000  -0.04
Os1 0.000 0.500 0.500  0.61

***

# 8
DFT (PBE) results for an optimized crystal structure of V2FeRh3.

Values from the calculation:
DFT formation energy ... 0.175 eV/atom
Energy above the lowest structure with this stoichiometry ... 511.4 meV per atom
Symmetry ... No. 72

abc: 7.007 5.413 6.692
angles: 113.86 121.57 90.00
Each line ends with the local moment (μB).
Fractional positions:
V1 0.579 0.362 0.723  -0.56
V2 0.145 0.862 0.723  -0.56
V3 0.855 0.138 0.277  -0.56
V4 0.421 0.638 0.277  -0.56
Rh1 0.223 0.473 0.446  0.12
Rh2 0.500 0.250 0.000  0.07
Rh3 0.500 0.750 0.000  0.07
Rh4 0.223 0.973 0.446  0.12
Rh5 0.777 0.027 0.554  0.12
Rh6 0.777 0.527 0.554  0.12
Fe1 0.000 0.500 0.000  2.45
Fe2 0.000 0.000 0.000  2.45

***

# 9
DFT (PBE) results for an optimized crystal structure of Pm2TmTl.

Values from the calculation:
DFT formation energy ... -0.093 eV/atom
Energy above the lowest structure with this stoichiometry ... 96.7 meV per atom
Symmetry ... No. 63

abc: 6.188 8.064 9.876
angles: 90.00 90.00 90.00
Fractional positions:
Pm1 0.250 0.077 0.060
Pm2 0.750 0.923 0.940
Pm3 0.250 0.577 0.560
Pm4 0.750 0.423 0.440
Pm5 0.750 0.923 0.560
Pm6 0.750 0.423 0.060
Pm7 0.250 0.077 0.440
Pm8 0.250 0.577 0.940
Tm1 0.750 0.090 0.250
Tm2 0.250 0.410 0.250
Tm3 0.250 0.910 0.750
Tm4 0.750 0.590 0.750
Tl1 0.000 0.750 0.250
Tl2 0.500 0.250 0.750
Tl3 0.500 0.750 0.250
Tl4 0.000 0.250 0.750

***

# 10
DFT (PBE) results for an optimized crystal structure of MgSbPt2.

Values from the calculation:
Formation energy (no corrections) ... -0.51 eV per atom
Symmetry ... No. 123

abc: 3.660 4.394 4.394
angles: 90.00 90.00 90.00
Fractional positions:
Pt1 0.000 0.500 0.000
Pt2 0.000 0.000 0.500
Mg1 0.500 0.500 0.500
Sb1 0.500 0.000 0.000

***

# 11
DFT (PBE) results for an optimized crystal structure of PdBr3F.

Values from the calculation:
Formation energy (no corrections) ... -0.36 eV per atom
Energy above the lowest structure with this stoichiometry ... 56.0 meV per atom
Symmetry ... No. 74

abc: 7.470 7.470 7.470
angles: 124.58 89.81 115.83
Fractional positions:
Br1 0.157 0.157 0.500
Br2 0.671 0.250 0.421
Br3 0.329 0.750 0.579
Br4 0.157 0.657 0.000
Br5 0.843 0.843 0.500
Br6 0.843 0.343 0.000
Pd1 0.500 0.000 0.000
Pd2 0.500 0.500 0.500
F1 0.391 0.250 0.141
F2 0.609 0.750 0.859

***

# 12
DFT (PBE) results for an optimized crystal structure of La2ZnCoH.

Values from the calculation:
Energy above the lowest structure with this stoichiometry ... 0.0 meV per atom
Symmetry ... No. 11

abc: 4.372 6.316 7.719
angles: 106.32 90.00 90.00
Fractional positions:
Co1 0.750 0.450 0.237
Co2 0.250 0.550 0.763
La1 0.250 0.242 0.420
La2 0.750 0.764 0.031
La3 0.250 0.236 0.969
La4 0.750 0.758 0.580
Zn1 0.250 0.669 0.281
Zn2 0.750 0.331 0.719
H1 0.750 0.179 0.193
H2 0.250 0.821 0.807

***

# 13
DFT (PBE) results for an optimized crystal structure of TbPm4Pr5.

Values from the calculation:
DFT formation energy ... 0.016 eV/atom
Energy above the lowest structure with this stoichiometry ... 2.1 meV per atom
Symmetry ... No. 123

abc: 3.688 3.688 25.860
angles: 90.00 90.00 90.00
Fractional positions:
Pr1 0.500 0.500 0.500
Pr2 0.500 0.500 0.701
Pr3 0.500 0.500 0.098
Pr4 0.500 0.500 0.902
Pr5 0.500 0.500 0.299
Tb1 0.000 0.000 0.000
Pm1 0.000 0.000 0.399
Pm2 0.000 0.000 0.601
Pm3 0.000 0.000 0.198
Pm4 0.000 0.000 0.802

***

# 14
DFT (PBE) results for an optimized crystal structure of La4Zn.

Values from the calculation:
DFT formation energy ... -0.039 eV/atom
Energy above the lowest structure with this stoichiometry ... 83.9 meV per atom
Symmetry ... No. 87

abc: 4.985 6.138 6.138
angles: 99.49 113.96 66.04
Fractional positions:
La1 0.616 0.584 0.816
La2 0.384 0.416 0.184
La3 0.200 0.184 0.584
La4 0.800 0.816 0.416
Zn1 0.000 0.000 0.000

***

# 15
DFT (PBE) results for an optimized crystal structure of CaPdC.

Values from the calculation:
DFT formation energy ... -0.176 eV/atom
Energy above the lowest structure with this stoichiometry ... 107.7 meV per atom
Symmetry ... No. 44

abc: 3.684 4.606 12.126
angles: 90.00 90.00 90.00
Fractional positions:
Ca1 0.000 0.500 0.392
Ca2 0.500 0.500 0.658
Ca3 0.000 0.000 0.158
Ca4 0.500 0.000 0.892
Pd1 0.500 0.500 0.054
Pd2 0.500 0.000 0.368
Pd3 0.000 0.000 0.554
Pd4 0.000 0.500 0.868
C1 0.500 0.359 0.241
C2 0.000 0.859 0.741
C3 0.500 0.641 0.241
C4 0.000 0.141 0.741

***

# 16
DFT (PBE) results for an optimized crystal structure of Tm3BiSe3.

Values from the calculation:
Formation energy (no corrections) ... -1.41 eV per atom
Symmetry ... No. 148

abc: 8.149 8.149 8.624
angles: 61.81 61.81 60.00
Fractional positions:
Se1 0.131 0.373 0.664
Se2 0.167 0.869 0.336
Se3 0.869 0.627 0.336
Se4 0.833 0.131 0.664
Se5 0.627 0.167 0.336
Se6 0.373 0.833 0.664
Tm1 0.076 0.714 0.725
Tm2 0.924 0.286 0.275
Tm3 0.714 0.485 0.725
Tm4 0.485 0.076 0.725
Tm5 0.515 0.924 0.275
Tm6 0.286 0.515 0.275
Bi1 0.334 0.334 0.999
Bi2 0.666 0.666 0.001

***

# 17
DFT (PBE) results for an optimized crystal structure of Rb2ZnCu2.

Values from the calculation:
DFT formation energy ... 0.362 eV/atom
Energy above the lowest structure with this stoichiometry ... 0.0 meV per atom
Symmetry ... No. 139

abc: 6.719 6.719 6.005
angles: 55.99 55.99 90.00
Fractional positions:
Cu1 0.664 0.664 0.673
Cu2 0.336 0.336 0.327
Rb1 0.250 0.750 0.500
Rb2 0.750 0.250 0.500
Zn1 0.000 0.000 0.000

***

# 18
DFT (PBE) results for an optimized crystal structure of TiHg3F.

Values from the calculation:
Formation energy (no corrections) ... 0.16 eV per atom
Energy above the lowest structure with this stoichiometry ... 40.2 meV per atom
Symmetry ... No. 221

abc: 5.494 5.494 5.494
angles: 90.00 90.00 90.00
Each line ends with the local moment (μB).
Fractional positions:
Hg1 0.000 0.500 0.000  0.07
Hg2 0.500 0.000 0.000  0.11
Hg3 0.000 0.000 0.500  0.01
F1 0.500 0.500 0.500  0.02
Ti1 0.000 0.000 0.000  1.80

***

# 19
DFT (PBE) results for an optimized crystal structure of TlSnB2I.

Values from the calculation:
Formation energy (no corrections) ... 1.29 eV per atom
Symmetry ... No. 123

abc: 4.611 6.849 4.611
angles: 90.00 90.00 90.00
Fractional positions:
I1 0.500 0.500 0.500
B1 0.000 0.000 0.500
B2 0.500 0.000 0.000
Sn1 0.000 0.000 0.000
Tl1 0.000 0.500 0.000

***

# 20
DFT (PBE) results for an optimized crystal structure of LiAlPt.

Values from the calculation:
DFT formation energy ... -0.808 eV/atom
Energy above the lowest structure with this stoichiometry ... 0.0 meV per atom
Symmetry ... No. 12

abc: 4.831 4.831 5.123
angles: 64.56 64.57 53.77
Fractional positions:
Al1 0.092 0.050 0.890
Al2 0.748 0.705 0.421
Pt1 0.746 0.704 0.917
Pt2 0.094 0.051 0.394
Li1 0.426 0.383 0.401
Li2 0.414 0.372 0.910

***

# 21
DFT (PBE) results for an optimized crystal structure of Ac3HoAs4.

Values from the calculation:
DFT formation energy ... -1.449 eV/atom
Symmetry ... No. 13

abc: 7.700 7.698 8.904
angles: 90.00 90.00 109.53
Fractional positions:
Ac1 0.250 0.500 0.371
Ac2 0.750 0.500 0.629
Ac3 0.750 0.000 0.372
Ac4 0.250 0.000 0.628
Ac5 0.250 0.500 0.877
Ac6 0.750 0.500 0.123
As1 0.501 0.233 0.884
As2 0.509 0.757 0.634
As3 0.999 0.767 0.884
As4 0.499 0.767 0.116
As5 0.990 0.243 0.634
As6 0.001 0.233 0.116
As7 0.010 0.757 0.366
As8 0.490 0.243 0.366
Ho1 0.250 0.000 0.122
Ho2 0.750 0.000 0.878

***

# 22
DFT (PBE) results for an optimized crystal structure of KSn3Br8.

Values from the calculation:
Formation energy (no corrections) ... -0.86 eV per atom
Symmetry ... No. 8

abc: 5.783 9.122 9.540
angles: 94.14 107.64 90.00
Fractional positions:
Br1 0.242 0.280 0.483
Br2 0.082 0.688 0.164
Br3 0.672 0.976 0.344
Br4 0.892 0.311 0.784
Br5 0.417 0.626 0.834
Br6 0.566 0.356 0.132
Br7 0.419 0.015 0.838
Br8 0.738 0.609 0.475
K1 0.258 0.829 0.517
Sn1 0.583 0.686 0.167
Sn2 0.721 0.289 0.443
Sn3 0.408 0.307 0.817

***

# 23
DFT (PBE) results for an optimized crystal structure of TbCdTe3.

Values from the calculation:
Formation energy (no corrections) ... -0.74 eV per atom
Symmetry ... No. 11

abc: 4.530 6.518 13.026
angles: 107.17 90.00 90.00
Fractional positions:
Te1 0.250 0.497 0.784
Te2 0.250 0.174 0.400
Te3 0.750 0.826 0.600
Te4 0.750 0.503 0.216
Te5 0.750 0.835 0.078
Te6 0.250 0.165 0.922
Tb1 0.250 0.169 0.162
Tb2 0.750 0.831 0.838
Cd1 0.250 0.103 0.618
Cd2 0.750 0.897 0.382

***

Number 1: volume 16.4 Å³/atom. Number 2: volume 31.1 Å³/atom. Number 3: volume 17.6 Å³/atom. Number 4: volume 24.1 Å³/atom. Number 5: volume 25.3 Å³/atom. Number 6: volume 15.5 Å³/atom. Number 7: volume 34.5 Å³/atom. Number 8: volume 15.9 Å³/atom. Number 9: volume 30.8 Å³/atom. Number 10: volume 17.7 Å³/atom. Number 11: volume 29.2 Å³/atom. Number 12: volume 20.5 Å³/atom. Number 13: volume 35.2 Å³/atom. Number 14: volume 31.4 Å³/atom. Number 15: volume 17.1 Å³/atom. Number 16: volume 29.7 Å³/atom. Number 17: volume 33.2 Å³/atom. Number 18: volume 33.2 Å³/atom. Number 19: volume 29.1 Å³/atom. Number 20: volume 14.1 Å³/atom. Number 21: volume 31.1 Å³/atom. Number 22: volume 39.9 Å³/atom. Number 23: volume 36.8 Å³/atom.